DFT (PBE) results for a relaxed DyTmTlFe2 crystal.

Calculated values
Its total DFT energy (no corrections) is -5.77 eV/atom. The spin magnetization is 2.92 μB/cell. As for the density: 10.458 g/cm3.

```
data_DyTmTlFe2
_symmetry_space_group_name_H-M 'A m m 2'
_symmetry_Int_Tables_number 38
_symmetry_space_group_name_Hall 'A 2 -2'
_cell_length_a 3.939
_cell_length_b 3.779
_cell_length_c 13.813
_cell_angle_alpha 90.00
_cell_angle_beta 90.00
_cell_angle_gamma 90.00
loop_
_atom_site_label
_atom_site_type_symbol
_atom_site_fract_x
_atom_site_fract_y
_atom_site_fract_z
Dy1 Dy 0.000 0.000 0.000
Tm1 Tm 0.000 0.000 0.279
Tl1 Tl 0.500 0.000 0.640
Fe1 Fe 0.500 0.000 0.428
Fe2 Fe 0.500 0.000 0.848
```